Record 1
# HoMgAgRh

An optimized crystal structure of HoMgAgRh (GGA-PBE, Alexandria via LeMat-Bulk). Values from VASP.

## Properties
Its space group is F-43m, No. 216. The energy is -18.29 eV per cell. The value obtained for the formation energy is -0.478 eV per atom.

Structure (Quantum ESPRESSO input):
```
&SYSTEM
  ibrav = 0, nat = 4, ntyp = 4
/
ATOMIC_SPECIES
Ho 164.93 Ho.upf
Mg 24.30 Mg.upf
Ag 107.87 Ag.upf
Rh 102.91 Rh.upf
CELL_PARAMETERS angstrom
0.000 3.386 3.386
3.386 0.000 3.386
3.386 3.386 0.000
ATOMIC_POSITIONS crystal
Ho 0.000 0.000 0.000
Mg 0.500 0.500 0.500
Ag 0.250 0.250 0.250
Rh 0.750 0.750 0.750
```

***

Record 2
# Ca2GeO

An optimized crystal structure of Ca2GeO (GGA-PBE, Alexandria via LeMat-Bulk). Values from VASP.

## Properties
Its space group is Fm-3m, No. 225. The raw formation energy is -2.80 eV per formula unit. The energy is -16.38 eV per cell. The calculation puts the energy above the most stable polymorph in this dataset at 741 meV per atom.

Structure (Quantum ESPRESSO input):
```
&SYSTEM
  ibrav = 0, nat = 4, ntyp = 3
/
ATOMIC_SPECIES
Ca 40.08 Ca.upf
Ge 72.64 Ge.upf
O 16.00 O.upf
CELL_PARAMETERS angstrom
0.000 3.472 3.472
3.472 0.000 3.472
3.472 3.472 0.000
ATOMIC_POSITIONS crystal
Ca 0.250 0.250 0.250
Ca 0.750 0.750 0.750
Ge 0.000 0.000 0.000
O 0.500 0.500 0.500
```